# 1
TbH3C3O6: relaxed, GGA-PBEsol.

a = 3.924 Å, b = 6.124 Å, c = 6.124 Å
α = 115.57°, β = 102.33°, γ = 102.33°
Positions (direct):
H  0.162  0.517  0.517
H  0.645  0.000  0.483
H  0.645  0.483  0.000
C  0.854  0.461  0.461
C  0.393  0.000  0.539
C  0.393  0.539  0.000
Tb  0.999  0.000  0.000
O  0.719  0.607  0.607
O  0.112  0.000  0.393
O  0.112  0.393  0.000
O  0.660  0.251  0.251
O  0.409  0.000  0.749
O  0.409  0.749  0.000

Its final energy is -7.242 eV/atom. The magnetic moment is 0.0 μB per cell.


# 2
TbHC3O6: relaxed, GGA-PBEsol.

a = 6.534 Å, b = 6.992 Å, c = 10.553 Å
α = 90.00°, β = 90.00°, γ = 90.00°
Positions (direct):
Tb  0.866  0.698  0.750
Tb  0.634  0.198  0.750
Tb  0.134  0.302  0.250
Tb  0.366  0.802  0.250
H  0.119  0.283  0.750
H  0.381  0.783  0.750
H  0.881  0.717  0.250
H  0.619  0.217  0.250
C  0.129  0.125  0.750
C  0.371  0.625  0.750
C  0.871  0.875  0.250
C  0.629  0.375  0.250
C  0.048  0.596  0.480
C  0.452  0.096  0.020
C  0.952  0.404  0.980
C  0.548  0.904  0.520
C  0.952  0.404  0.520
C  0.548  0.904  0.980
C  0.048  0.596  0.020
C  0.452  0.096  0.480
O  0.961  0.031  0.750
O  0.539  0.531  0.750
O  0.039  0.969  0.250
O  0.461  0.469  0.250
O  0.304  0.051  0.750
O  0.196  0.551  0.750
O  0.696  0.949  0.250
O  0.804  0.449  0.250
O  0.022  0.739  0.549
O  0.478  0.239  0.951
O  0.978  0.261  0.049
O  0.522  0.761  0.451
O  0.978  0.261  0.451
O  0.522  0.761  0.049
O  0.022  0.739  0.951
O  0.478  0.239  0.549
O  0.148  0.591  0.376
O  0.352  0.091  0.124
O  0.852  0.409  0.876
O  0.648  0.909  0.624
O  0.852  0.409  0.624
O  0.648  0.909  0.876
O  0.148  0.591  0.124
O  0.352  0.091  0.376

Its final energy is -7.939 eV/atom. The magnetic moment is 0.0 μB per cell.


# 3
TiH3CO5: relaxed, GGA-PBEsol.

a = 9.255 Å, b = 9.588 Å, c = 9.588 Å
α = 68.63°, β = 90.00°, γ = 90.00°
Positions (direct):
Ti  0.100  0.962  0.672
Ti  0.900  0.672  0.962
Ti  0.600  0.172  0.462
Ti  0.400  0.462  0.172
Ti  0.900  0.038  0.328
Ti  0.100  0.328  0.038
Ti  0.400  0.828  0.538
Ti  0.600  0.538  0.828
H  0.287  0.214  0.569
H  0.713  0.569  0.214
H  0.787  0.069  0.714
H  0.213  0.714  0.069
H  0.713  0.786  0.431
H  0.287  0.431  0.786
H  0.213  0.931  0.286
H  0.787  0.286  0.931
H  0.132  0.246  0.473
H  0.868  0.473  0.246
H  0.632  0.973  0.746
H  0.368  0.746  0.973
H  0.868  0.754  0.527
H  0.132  0.527  0.754
H  0.368  0.027  0.254
H  0.632  0.254  0.027
H  0.426  0.958  0.875
H  0.574  0.875  0.958
H  0.926  0.375  0.458
H  0.074  0.458  0.375
H  0.574  0.042  0.125
H  0.426  0.125  0.042
H  0.074  0.625  0.542
H  0.926  0.542  0.625
C  0.172  0.107  0.893
C  0.828  0.893  0.107
C  0.672  0.393  0.607
C  0.328  0.607  0.393
C  0.018  0.161  0.839
C  0.982  0.839  0.161
C  0.518  0.339  0.661
C  0.482  0.661  0.339
O  0.228  0.014  0.843
O  0.772  0.843  0.014
O  0.728  0.343  0.514
O  0.272  0.514  0.343
O  0.772  0.986  0.157
O  0.228  0.157  0.986
O  0.272  0.657  0.486
O  0.728  0.486  0.657
O  0.962  0.108  0.749
O  0.038  0.749  0.108
O  0.462  0.249  0.608
O  0.538  0.608  0.249
O  0.038  0.892  0.251
O  0.962  0.251  0.892
O  0.538  0.751  0.392
O  0.462  0.392  0.751
O  0.250  0.854  0.646
O  0.750  0.646  0.854
O  0.750  0.146  0.354
O  0.250  0.354  0.146
O  0.000  0.000  0.500
O  0.000  0.500  0.000
O  0.500  0.000  0.500
O  0.500  0.500  0.000
O  0.000  0.814  0.814
O  0.500  0.314  0.314
O  0.000  0.186  0.186
O  0.500  0.686  0.686
O  0.191  0.174  0.554
O  0.809  0.554  0.174
O  0.691  0.054  0.674
O  0.309  0.674  0.054
O  0.809  0.826  0.446
O  0.191  0.446  0.826
O  0.309  0.946  0.326
O  0.691  0.326  0.946
O  0.500  0.881  0.881
O  0.000  0.381  0.381
O  0.500  0.119  0.119
O  0.000  0.619  0.619

Its final energy is -7.055 eV/atom. The magnetic moment is 0.0 μB per cell.


# 4
TlHC2O4: relaxed, GGA-PBEsol.

a = 6.235 Å, b = 6.373 Å, c = 10.202 Å
α = 90.00°, β = 94.12°, γ = 90.00°
Positions (direct):
Tl  0.061  0.040  0.792
Tl  0.439  0.540  0.208
Tl  0.939  0.960  0.208
Tl  0.561  0.460  0.792
H  0.435  0.054  0.290
H  0.065  0.554  0.710
H  0.565  0.946  0.710
H  0.935  0.446  0.290
C  0.413  0.086  0.488
C  0.087  0.586  0.512
C  0.587  0.914  0.512
C  0.913  0.414  0.488
C  0.564  0.962  0.942
C  0.936  0.462  0.058
C  0.436  0.038  0.058
C  0.064  0.538  0.942
O  0.362  0.138  0.366
O  0.138  0.638  0.634
O  0.638  0.862  0.634
O  0.862  0.362  0.366
O  0.329  0.169  0.581
O  0.171  0.669  0.419
O  0.671  0.831  0.419
O  0.829  0.331  0.581
O  0.493  0.029  0.829
O  0.007  0.529  0.171
O  0.507  0.971  0.171
O  0.993  0.471  0.829
O  0.723  0.844  0.965
O  0.777  0.344  0.035
O  0.277  0.156  0.035
O  0.223  0.656  0.965

Its final energy is -6.813 eV/atom. The magnetic moment is 0.0 μB per cell.


# 5
TmH3C3O6: relaxed, GGA-PBEsol.

a = 3.870 Å, b = 6.053 Å, c = 6.053 Å
α = 115.59°, β = 102.30°, γ = 102.30°
Positions (direct):
H  0.166  0.517  0.517
H  0.649  0.000  0.483
H  0.649  0.483  0.000
C  0.855  0.462  0.462
C  0.393  0.000  0.538
C  0.393  0.538  0.000
Tm  0.997  0.000  0.000
O  0.719  0.611  0.611
O  0.109  0.000  0.389
O  0.109  0.389  0.000
O  0.657  0.250  0.250
O  0.407  0.000  0.750
O  0.407  0.750  0.000

Its final energy is -7.230 eV/atom. The magnetic moment is 0.0 μB per cell.


# 6
HWCO2: relaxed, GGA-PBEsol.

a = 3.787 Å, b = 3.787 Å, c = 4.211 Å
α = 90.00°, β = 90.00°, γ = 90.00°
Last column: magnetic moment on the atom in μB.
Positions (direct):
H  0.500  0.500  0.500  0.26
C  0.000  0.000  0.500  -0.45
O  0.000  0.500  0.000  -0.06
O  0.500  0.000  0.000  -0.06
W  0.000  0.000  0.000  0.06

Its final energy is -7.299 eV/atom. The magnetic moment is 0.3 μB per cell.


# 7
YH2C2O6: relaxed, GGA-PBEsol.

a = 7.709 Å, b = 8.408 Å, c = 9.519 Å
α = 90.00°, β = 90.00°, γ = 117.28°
Positions (direct):
C  0.400  0.000  0.505
C  0.600  0.000  0.005
C  0.600  0.000  0.495
C  0.400  0.000  0.995
C  0.917  0.449  0.750
C  0.083  0.551  0.250
C  0.532  0.449  0.250
C  0.468  0.551  0.750
H  0.007  0.798  0.503
H  0.993  0.202  0.003
H  0.791  0.798  0.497
H  0.209  0.202  0.997
H  0.209  0.202  0.503
H  0.791  0.798  0.003
H  0.993  0.202  0.497
H  0.007  0.798  0.997
O  0.251  0.849  0.509
O  0.749  0.151  0.009
O  0.598  0.849  0.491
O  0.402  0.151  0.991
O  0.402  0.151  0.509
O  0.598  0.849  0.009
O  0.749  0.151  0.491
O  0.251  0.849  0.991
O  0.002  0.494  0.630
O  0.998  0.506  0.130
O  0.492  0.494  0.370
O  0.508  0.506  0.870
O  0.728  0.357  0.750
O  0.272  0.643  0.250
O  0.629  0.357  0.250
O  0.371  0.643  0.750
O  0.002  0.494  0.870
O  0.998  0.506  0.370
O  0.492  0.494  0.130
O  0.508  0.506  0.630
O  0.137  0.275  0.500
O  0.863  0.725  0.000
O  0.863  0.725  0.500
O  0.137  0.275  0.000
Y  0.292  0.583  0.500
Y  0.708  0.417  0.000
Y  0.708  0.417  0.500
Y  0.292  0.583  0.000

Its final energy is -7.673 eV/atom. The magnetic moment is 0.0 μB per cell.


# 8
YH7C4O11: relaxed, GGA-PBEsol.

a = 8.689 Å, b = 8.689 Å, c = 12.448 Å
α = 90.00°, β = 90.00°, γ = 90.00°
Positions (direct):
C  0.273  0.717  0.048
C  0.727  0.283  0.048
C  0.783  0.773  0.548
C  0.217  0.227  0.548
C  0.227  0.783  0.452
C  0.773  0.217  0.452
C  0.717  0.727  0.952
C  0.283  0.273  0.952
C  0.226  0.798  0.944
C  0.774  0.202  0.944
C  0.702  0.726  0.444
C  0.298  0.274  0.444
C  0.274  0.702  0.556
C  0.726  0.298  0.556
C  0.798  0.774  0.056
C  0.202  0.226  0.056
H  0.000  0.000  0.284
H  0.500  0.500  0.784
H  0.500  0.500  0.216
H  0.000  0.000  0.716
H  0.198  0.993  0.336
H  0.802  0.007  0.336
H  0.507  0.698  0.836
H  0.493  0.302  0.836
H  0.302  0.507  0.164
H  0.698  0.493  0.164
H  0.993  0.802  0.664
H  0.007  0.198  0.664
H  0.179  0.074  0.216
H  0.821  0.926  0.216
H  0.426  0.679  0.716
H  0.574  0.321  0.716
H  0.321  0.426  0.284
H  0.679  0.574  0.284
H  0.074  0.821  0.784
H  0.926  0.179  0.784
H  0.512  0.909  0.282
H  0.488  0.091  0.282
H  0.591  0.012  0.782
H  0.409  0.988  0.782
H  0.988  0.591  0.218
H  0.012  0.409  0.218
H  0.909  0.488  0.718
H  0.091  0.512  0.718
O  0.375  0.780  0.105
O  0.625  0.220  0.105
O  0.720  0.875  0.605
O  0.280  0.125  0.605
O  0.125  0.720  0.395
O  0.875  0.280  0.395
O  0.780  0.625  0.895
O  0.220  0.375  0.895
O  0.208  0.590  0.068
O  0.792  0.410  0.068
O  0.910  0.708  0.568
O  0.090  0.292  0.568
O  0.292  0.910  0.432
O  0.708  0.090  0.432
O  0.590  0.792  0.932
O  0.410  0.208  0.932
O  0.114  0.739  0.894
O  0.886  0.261  0.894
O  0.761  0.614  0.394
O  0.239  0.386  0.394
O  0.386  0.761  0.606
O  0.614  0.239  0.606
O  0.739  0.886  0.106
O  0.261  0.114  0.106
O  0.301  0.916  0.917
O  0.699  0.084  0.917
O  0.584  0.801  0.417
O  0.416  0.199  0.417
O  0.199  0.584  0.583
O  0.801  0.416  0.583
O  0.916  0.699  0.083
O  0.084  0.301  0.083
O  0.127  0.055  0.288
O  0.873  0.945  0.288
O  0.445  0.627  0.788
O  0.555  0.373  0.788
O  0.373  0.445  0.212
O  0.627  0.555  0.212
O  0.055  0.873  0.712
O  0.945  0.127  0.712
O  0.500  0.000  0.236
O  0.500  0.000  0.736
O  0.000  0.500  0.264
O  0.000  0.500  0.764
Y  0.500  0.000  0.044
Y  0.500  0.000  0.544
Y  0.000  0.500  0.456
Y  0.000  0.500  0.956

Its final energy is -6.895 eV/atom. The magnetic moment is 0.0 μB per cell.